5
Lattice="5.187 0.000 0.000 0.000 5.187 0.000 0.000 0.000 5.187" Properties=species:S:1:pos:R:3 comment="ScHg3Ge PBE-GGA optimized geometry" e_tot_ev_per_cell=-9.78 ef_mev_per_atom=415 volume_a3_per_cell=139.52 e_above_lowest_polymorph_ev_per_atom=0.000 rho_g_cm3=8.6 crystal_system=cubic pbc="T T T"
Sc 0.000 0.000 0.000
Hg 0.000 2.593 2.593
Hg 2.593 0.000 2.593
Hg 2.593 2.593 0.000
Ge 2.593 2.593 2.593